ScZnSe2 | PBE | relaxed

Cell and atoms, written as POSCAR:
```
ScZnSe2
1.0
-2.027 2.818 -0.017
-2.412 -1.724 1.924
1.425 1.067 6.736
Sc Se Zn
1 2 1
direct
0.500 0.750 0.750
0.000 0.154 0.986
0.000 0.346 0.514
0.500 0.250 0.250
```

Summary:
Mass density   5.49 Mg/m³
Uncorrected formation energy   -0.84 eV/atom